1.
Below is ScTaTe at its PBEsol-relaxed geometry, with properties calculated at the meta-GGA SCAN level.

Summary:
N(E_F) = 0.808 states/eV/f.u.
distance to the lowest polymorph of the same formula = 0.000 eV/atom

a = 3.4213 Å, b = 3.4213 Å, c = 6.4283 Å
α = 90.00°, β = 90.00°, γ = 120.00°
With the nearest neighbours (Å) after each atom.
Space group P3m1 (No. 156)
Unique sites:
Sc (0.0000, 0.0000, 0.0000) [1 per cell]  3 Ta 2.94, 3 Te 3.04
Ta (0.3333, 0.6667, 0.6618) [1 per cell]  3 Te 2.78, 3 Sc 2.94
Te (0.6667, 0.3333, 0.3586) [1 per cell]  3 Ta 2.78, 3 Sc 3.04

---

2.
Below is ZnMo2P at its PBEsol-relaxed geometry, with properties calculated at the meta-GGA SCAN level.

Summary:
N(E_F) = 2.983 states/eV/f.u.
E_form = 0.20 eV per atom

a = 2.8680 Å, b = 2.8680 Å, c = 25.0452 Å
α = 90.00°, β = 90.00°, γ = 120.00°
With the nearest neighbours (Å) after each atom.
Space group R3m (No. 160, hexagonal axes)
Unique sites:
Zn (0.0000, 0.0000, 0.0000) [3 per cell]  3 P 2.71, 3 Mo 2.76, 6 Zn 2.87
Mo (0.0000, 0.0000, 0.5101) [3 per cell]  3 P 2.43
Mo (0.0000, 0.0000, 0.7547) [3 per cell]  3 Zn 2.76, 9 Mo 2.77-2.87
P (0.0000, 0.0000, 0.2477) [3 per cell]  3 Mo 2.43, 3 Zn 2.71

---

3.
Below is ZrScCu2 at its PBEsol-relaxed geometry, with properties calculated at the meta-GGA SCAN level.

Summary:
N(E_F) = 2.075 states/eV/f.u.
E_form = -0.26 eV per atom
distance to the lowest polymorph of the same formula = 0.000 eV/atom

a = 3.2432 Å, b = 4.2746 Å, c = 4.9158 Å
α = 90.00°, β = 98.41°, γ = 90.00°
With the nearest neighbours (Å) after each atom.
Space group Pm (No. 6)
Unique sites:
Zr (0.0000, 0.0000, 0.0000) [1 per cell]  7 Cu 2.62-2.82
Sc (0.1827, 0.5000, 0.5627) [1 per cell]  7 Cu 2.65-2.83
Cu (0.5589, 0.5000, 0.1201) [1 per cell]  3 Sc 2.65-2.83, 2 Cu 2.65, 4 Zr 2.69-2.81
Cu (0.6360, 0.0000, 0.4426) [1 per cell]  3 Zr 2.62-2.82, 2 Cu 2.65, 4 Sc 2.71-2.78

---

| no. | volume (Å³/atom) |
| --- | --- |
| 1 | 21.72 |
| 2 | 14.87 |
| 3 | 16.85 |